Entry 1:
The following is a DFT calculation (PBE) of a relaxed ReTcNi crystal.

## Properties
* offset from the most stable computed form: 541 meV/atom
* formation enthalpy at 0 K: 1.7 eV/f.u.
* VASP energy: -8.9675 eV per atom

abc: 4.101 4.101 4.101
angles: 60.00 60.00 60.00
Positions (direct):
Ni1 0.500 0.500 0.500
Re1 0.750 0.750 0.750
Tc1 0.000 0.000 0.000

Entry 2:
The following is a DFT calculation (PBE) of a relaxed ReTc2Ni crystal.

## Properties
* offset from the most stable computed form: 77 meV/atom
* formation enthalpy at 0 K: 0.3 eV/f.u.
* VASP energy: -9.6564 eV per atom

abc: 4.638 4.638 2.745
angles: 90.00 90.00 109.31
Positions (direct):
Ni1 0.500 0.000 0.500
Re1 0.000 0.500 0.500
Tc1 0.000 0.000 0.000
Tc2 0.500 0.500 0.000

Entry 3:
The following is a DFT calculation (PBE) of a relaxed Re2TcNi crystal.

## Properties
* offset from the most stable computed form: 76 meV/atom
* formation enthalpy at 0 K: 0.4 eV/f.u.
* VASP energy: -10.1706 eV per atom

abc: 4.656 4.656 4.668
angles: 80.32 80.32 34.36
Positions (direct):
Ni1 0.250 0.250 0.250
Re1 0.998 0.998 0.005
Re2 0.502 0.502 0.495
Tc1 0.750 0.750 0.750

Entry 4:
The following is a DFT calculation (PBE) of a relaxed ReTcNi2 crystal.

## Properties
* offset from the most stable computed form: 83 meV/atom
* formation enthalpy at 0 K: 0.2 eV/f.u.
* VASP energy: -8.5445 eV per atom

abc: 3.655 3.651 3.844
angles: 90.00 90.00 90.00
Positions (direct):
Ni1 0.000 0.000 0.000
Ni2 0.500 0.500 0.000
Re1 0.500 0.000 0.500
Tc1 0.000 0.500 0.500

Entry 5:
The following is a DFT calculation (PBE) of a relaxed ReTcNi4 crystal.

## Properties
* offset from the most stable computed form: 0 meV/atom
* formation enthalpy at 0 K: -0.2 eV/f.u.
* VASP energy: -7.6915 eV per atom

abc: 4.779 4.779 8.130
angles: 64.91 115.09 116.34
Positions (direct):
Re1 0.000 0.000 0.250
Re2 0.000 0.000 0.750
Tc1 0.500 0.500 0.250
Tc2 0.500 0.500 0.750
Ni1 0.083 0.416 0.917
Ni2 0.917 0.584 0.083
Ni3 0.416 0.083 0.583
Ni4 0.584 0.917 0.417
Ni5 0.917 0.584 0.584
Ni6 0.416 0.083 0.084
Ni7 0.584 0.917 0.916
Ni8 0.083 0.416 0.416

Entry 6:
The following is a DFT calculation (PBE) of a relaxed Re2TcNi crystal.

## Properties
* offset from the most stable computed form: 80 meV/atom
* formation enthalpy at 0 K: 0.4 eV/f.u.
* VASP energy: -10.1667 eV per atom

abc: 2.707 2.707 7.642
angles: 90.00 90.00 90.00
Positions (direct):
Ni1 0.500 0.500 0.752
Re1 0.000 0.000 0.989
Re2 0.500 0.500 0.253
Tc1 0.000 0.000 0.506

Entry 7:
The following is a DFT calculation (PBE) of a relaxed ReTc2Ni crystal.

## Properties
* offset from the most stable computed form: 108 meV/atom
* formation enthalpy at 0 K: 0.5 eV/f.u.
* VASP energy: -9.6253 eV per atom

abc: 3.155 3.155 5.571
angles: 90.00 90.00 90.00
Positions (direct):
Ni1 0.500 0.500 0.250
Re1 0.500 0.500 0.750
Tc1 0.000 0.000 0.022
Tc2 0.000 0.000 0.478

Entry 8:
The following is a DFT calculation (PBE) of a relaxed ReTcNi2 crystal.

## Properties
* offset from the most stable computed form: 99 meV/atom
* formation enthalpy at 0 K: 0.3 eV/f.u.
* VASP energy: -8.5276 eV per atom

abc: 3.086 3.086 5.426
angles: 90.00 90.00 90.00
Positions (direct):
Ni1 0.000 0.000 0.024
Ni2 0.500 0.500 0.230
Re1 0.000 0.000 0.490
Tc1 0.500 0.500 0.756

> What is the offset from the most stable computed form in the sixth record?

80 meV/atom

> VASP energy of number 5 (ReTcNi4)?

-7.6915 eV per atom